(1)
Here is crystalline ScSn2Mo at its relaxed geometry from Alexandria via LeMat-Bulk. Energies are from PBE-GGA.

Geometry as extended XYZ:
```
4
Lattice="1.483 -3.417 3.084 -3.087 -3.406 1.502 0.512 -4.565 -1.513" Properties=species:S:1:pos:R:3 pbc="T T T"
Sc 0.000 0.000 0.000
Mo -0.546 -5.694 1.537
Sn -0.273 -2.847 0.768
Sn -0.819 -8.541 2.305
```

Results
Total magnetic moment, μB per cell: 0.00
V, Å³/cell: 80
ΔH_f (0 K), eV per atom: -0.057
DOS(E_F), states/eV/f.u.: 4.24
Total DFT energy (no corrections), eV per atom: -6.35
ΔE to the lowest computed polymorph, eV per atom: 0.000
Crystal system: cubic

(2)
Here is crystalline DyScFe10 at its relaxed geometry from Alexandria via LeMat-Bulk. Energies are from PBE-GGA.

Geometry as extended XYZ:
```
12
Lattice="3.951 0.000 0.000 0.000 4.916 0.000 0.000 0.000 8.491" Properties=species:S:1:pos:R:3 pbc="T T T"
Dy 0.000 0.000 0.000
Sc 0.000 2.458 4.246
Fe 0.000 0.000 2.876
Fe 0.000 2.458 7.027
Fe 0.000 2.458 1.465
Fe 0.000 0.000 5.615
Fe 1.976 0.000 4.246
Fe 1.976 2.458 0.000
Fe 1.976 1.238 2.162
Fe 1.976 3.678 6.329
Fe 1.976 3.678 2.162
Fe 1.976 1.238 6.329
```

Results
Total magnetic moment, μB per cell: 18.90
V, Å³/cell: 165
ΔH_f (0 K), eV per atom: -0.054
DOS(E_F), states/eV/f.u.: 9.85
Total DFT energy (no corrections), eV per atom: -8.02
Crystal system: orthorhombic